1.
# LiCd2Ru (meta-GGA SCAN, single point on PBEsol structure)
# Electronic total energy, eV/atom: -24.39
# ΔH_f (0 K), meV/atom: 126
data_LiCd2Ru
_symmetry_space_group_name_H-M 'I m m 2'
_symmetry_Int_Tables_number 44
_symmetry_space_group_name_Hall 'I 2 -2'
_cell_length_a 3.100
_cell_length_b 4.543
_cell_length_c 9.197
_cell_angle_alpha 90.00
_cell_angle_beta 90.00
_cell_angle_gamma 90.00
loop_
_atom_site_label
_atom_site_fract_x
_atom_site_fract_y
_atom_site_fract_z
Li1 0.000 0.000 0.000
Cd1 0.000 0.000 0.488
Cd2 0.000 0.500 0.251
Ru1 0.000 0.500 0.738

---

2.
# Li2CdRu (meta-GGA SCAN, single point on PBEsol structure)
# Electronic total energy, eV/atom: -17.39
# ΔH_f (0 K), meV/atom: 118
data_Li2CdRu
_symmetry_space_group_name_H-M 'P m m 2'
_symmetry_Int_Tables_number 25
_symmetry_space_group_name_Hall 'P 2 -2'
_cell_length_a 2.586
_cell_length_b 4.330
_cell_length_c 5.456
_cell_angle_alpha 90.00
_cell_angle_beta 90.00
_cell_angle_gamma 90.00
loop_
_atom_site_label
_atom_site_fract_x
_atom_site_fract_y
_atom_site_fract_z
Li1 0.000 0.000 0.000
Li2 0.500 0.500 0.260
Cd1 0.500 0.500 0.736
Ru1 0.000 0.000 0.493

---

3.
# LiCdRu (meta-GGA SCAN, single point on PBEsol structure)
# Electronic total energy, eV/atom: -22.35
# ΔH_f (0 K), meV/atom: 195
data_LiCdRu
_symmetry_space_group_name_H-M 'P 3 m 1'
_symmetry_Int_Tables_number 156
_symmetry_space_group_name_Hall 'P 3 -2"'
_cell_length_a 4.5034
_cell_length_b 4.5034
_cell_length_c 2.5774
_cell_angle_alpha 90.00
_cell_angle_beta 90.00
_cell_angle_gamma 120.00
loop_
_atom_site_label
_atom_site_fract_x
_atom_site_fract_y
_atom_site_fract_z
Li1 0.0000 0.0000 0.0000
Cd1 0.3333 0.6667 0.2457
Ru1 0.6667 0.3333 0.6821

---

4.
# LiCdRu2W (meta-GGA SCAN, single point on PBEsol structure)
# Electronic total energy, eV/atom: -33.28
# ΔH_f (0 K), meV/atom: 1145
data_LiCdRu2W
_symmetry_space_group_name_H-M 'P 4/m m m'
_symmetry_Int_Tables_number 123
_symmetry_space_group_name_Hall '-P 4 2'
_cell_length_a 4.195
_cell_length_b 4.195
_cell_length_c 4.024
_cell_angle_alpha 90.00
_cell_angle_beta 90.00
_cell_angle_gamma 90.00
loop_
_atom_site_label
_atom_site_fract_x
_atom_site_fract_y
_atom_site_fract_z
Li1 0.000 0.000 0.000
Cd1 0.000 0.000 0.500
Ru1 0.000 0.500 0.000
W1 0.500 0.500 0.500

---

5.
# LiCd3S (meta-GGA SCAN, single point on PBEsol structure)
# Electronic total energy, eV/atom: -20.32
data_LiCd3S
_symmetry_space_group_name_H-M 'P m -3 m'
_symmetry_Int_Tables_number 221
_symmetry_space_group_name_Hall '-P 4 2 3'
_cell_length_a 5.166
_cell_length_b 5.166
_cell_length_c 5.166
_cell_angle_alpha 90.00
_cell_angle_beta 90.00
_cell_angle_gamma 90.00
loop_
_atom_site_label
_atom_site_fract_x
_atom_site_fract_y
_atom_site_fract_z
Li1 0.000 0.000 0.000
Cd1 0.000 0.500 0.500
S1 0.500 0.500 0.500

---

6.
# Li4ScCd (meta-GGA SCAN, single point on PBEsol structure)
# Electronic total energy, eV/atom: -9.08
# ΔH_f (0 K), meV/atom: -47
data_Li4ScCd
_symmetry_space_group_name_H-M 'F -4 3 m'
_symmetry_Int_Tables_number 216
_symmetry_space_group_name_Hall 'F -4 2 3'
_cell_length_a 7.488
_cell_length_b 7.488
_cell_length_c 7.488
_cell_angle_alpha 90.00
_cell_angle_beta 90.00
_cell_angle_gamma 90.00
loop_
_atom_site_label
_atom_site_fract_x
_atom_site_fract_y
_atom_site_fract_z
Li1 0.124 0.124 0.124
Sc1 0.000 0.000 0.500
Cd1 0.250 0.250 0.750

---

7.
# LiSc2Cd (meta-GGA SCAN, single point on PBEsol structure)
# Electronic total energy, eV/atom: -15.47
# ΔH_f (0 K), meV/atom: -153
data_LiSc2Cd
_symmetry_space_group_name_H-M 'P 4 m m'
_symmetry_Int_Tables_number 99
_symmetry_space_group_name_Hall 'P 4 -2'
_cell_length_a 3.476
_cell_length_b 3.476
_cell_length_c 6.842
_cell_angle_alpha 90.00
_cell_angle_beta 90.00
_cell_angle_gamma 90.00
loop_
_atom_site_label
_atom_site_fract_x
_atom_site_fract_y
_atom_site_fract_z
Li1 0.000 0.000 0.000
Sc1 0.000 0.000 0.542
Sc2 0.500 0.500 0.260
Cd1 0.500 0.500 0.795

---

8.
# LiScCd2 (meta-GGA SCAN, single point on PBEsol structure)
# Electronic total energy, eV/atom: -19.69
# ΔH_f (0 K), meV/atom: -324
data_LiScCd2
_symmetry_space_group_name_H-M 'C m m m'
_symmetry_Int_Tables_number 65
_symmetry_space_group_name_Hall '-C 2 2'
_cell_length_a 7.006
_cell_length_b 7.015
_cell_length_c 3.270
_cell_angle_alpha 90.00
_cell_angle_beta 90.00
_cell_angle_gamma 90.00
loop_
_atom_site_label
_atom_site_fract_x
_atom_site_fract_y
_atom_site_fract_z
Li1 0.000 0.000 0.000
Sc1 0.000 0.500 0.000
Cd1 0.250 0.250 0.500

---

9.
# LiSc4Cd (meta-GGA SCAN, single point on PBEsol structure)
# Electronic total energy, eV/atom: -14.67
# ΔH_f (0 K), meV/atom: 289
data_LiSc4Cd
_symmetry_space_group_name_H-M 'F -4 3 m'
_symmetry_Int_Tables_number 216
_symmetry_space_group_name_Hall 'F -4 2 3'
_cell_length_a 8.251
_cell_length_b 8.251
_cell_length_c 8.251
_cell_angle_alpha 90.00
_cell_angle_beta 90.00
_cell_angle_gamma 90.00
loop_
_atom_site_label
_atom_site_fract_x
_atom_site_fract_y
_atom_site_fract_z
Li1 0.000 0.000 0.000
Sc1 0.124 0.124 0.624
Cd1 0.250 0.250 0.250

---

10.
# LiSc3Cd (meta-GGA SCAN, single point on PBEsol structure)
# Electronic total energy, eV/atom: -14.63
# ΔH_f (0 K), meV/atom: 470
data_LiSc3Cd
_symmetry_space_group_name_H-M 'P m -3 m'
_symmetry_Int_Tables_number 221
_symmetry_space_group_name_Hall '-P 4 2 3'
_cell_length_a 4.875
_cell_length_b 4.875
_cell_length_c 4.875
_cell_angle_alpha 90.00
_cell_angle_beta 90.00
_cell_angle_gamma 90.00
loop_
_atom_site_label
_atom_site_fract_x
_atom_site_fract_y
_atom_site_fract_z
Li1 0.000 0.000 0.000
Sc1 0.000 0.000 0.500
Cd1 0.500 0.500 0.500

---

11.
# LiSc2Cd (meta-GGA SCAN, single point on PBEsol structure)
# Electronic total energy, eV/atom: -15.49
# ΔH_f (0 K), meV/atom: -170
data_LiSc2Cd
_symmetry_space_group_name_H-M 'P 4/m m m'
_symmetry_Int_Tables_number 123
_symmetry_space_group_name_Hall '-P 4 2'
_cell_length_a 4.843
_cell_length_b 4.843
_cell_length_c 3.534
_cell_angle_alpha 90.00
_cell_angle_beta 90.00
_cell_angle_gamma 90.00
loop_
_atom_site_label
_atom_site_fract_x
_atom_site_fract_y
_atom_site_fract_z
Li1 0.000 0.000 0.000
Sc1 0.000 0.500 0.500
Cd1 0.500 0.500 0.000

---

12.
# LiScCd (meta-GGA SCAN, single point on PBEsol structure)
# Electronic total energy, eV/atom: -15.87
# ΔH_f (0 K), meV/atom: -187
data_LiScCd
_symmetry_space_group_name_H-M 'P 3 m 1'
_symmetry_Int_Tables_number 156
_symmetry_space_group_name_Hall 'P 3 -2"'
_cell_length_a 4.7838
_cell_length_b 4.7838
_cell_length_c 2.9629
_cell_angle_alpha 90.00
_cell_angle_beta 90.00
_cell_angle_gamma 120.00
loop_
_atom_site_label
_atom_site_fract_x
_atom_site_fract_y
_atom_site_fract_z
Li1 0.0000 0.0000 0.0000
Sc1 0.3333 0.6667 0.4973
Cd1 0.6667 0.3333 0.9965

---

13.
# LiZr2ScCd (meta-GGA SCAN, single point on PBEsol structure)
# Electronic total energy, eV/atom: -20.78
# ΔH_f (0 K), meV/atom: 908
data_LiZr2ScCd
_symmetry_space_group_name_H-M 'P 4/m m m'
_symmetry_Int_Tables_number 123
_symmetry_space_group_name_Hall '-P 4 2'
_cell_length_a 5.279
_cell_length_b 5.279
_cell_length_c 5.232
_cell_angle_alpha 90.00
_cell_angle_beta 90.00
_cell_angle_gamma 90.00
loop_
_atom_site_label
_atom_site_fract_x
_atom_site_fract_y
_atom_site_fract_z
Li1 0.000 0.000 0.000
Zr1 0.000 0.500 0.500
Sc1 0.500 0.500 0.000
Cd1 0.500 0.500 0.500

---

14.
# Li3CdSe (meta-GGA SCAN, single point on PBEsol structure)
# Electronic total energy, eV/atom: -12.16
data_Li3CdSe
_symmetry_space_group_name_H-M 'P m -3 m'
_symmetry_Int_Tables_number 221
_symmetry_space_group_name_Hall '-P 4 2 3'
_cell_length_a 4.799
_cell_length_b 4.799
_cell_length_c 4.799
_cell_angle_alpha 90.00
_cell_angle_beta 90.00
_cell_angle_gamma 90.00
loop_
_atom_site_label
_atom_site_fract_x
_atom_site_fract_y
_atom_site_fract_z
Li1 0.000 0.000 0.500
Cd1 0.500 0.500 0.500
Se1 0.000 0.000 0.000

---

15.
# LiCdSe3 (meta-GGA SCAN, single point on PBEsol structure)
# Electronic total energy, eV/atom: -18.49
data_LiCdSe3
_symmetry_space_group_name_H-M 'P m -3 m'
_symmetry_Int_Tables_number 221
_symmetry_space_group_name_Hall '-P 4 2 3'
_cell_length_a 5.191
_cell_length_b 5.191
_cell_length_c 5.191
_cell_angle_alpha 90.00
_cell_angle_beta 90.00
_cell_angle_gamma 90.00
loop_
_atom_site_label
_atom_site_fract_x
_atom_site_fract_y
_atom_site_fract_z
Li1 0.000 0.000 0.000
Cd1 0.500 0.500 0.500
Se1 0.000 0.500 0.500